Er3Hg4: optimized geometry, PBE.

Calculated values
M_tot: 0.000 μB per atom
symmetry: I-43d
DFT total energy: -35.5 eV/cell
energy of formation from the pure elements: -0.4073 eV per atom

POSCAR file:
```
Er3Hg4
1.0
7.7753 0.0000 0.0000
-2.5918 7.3306 0.0000
-2.5918 -3.6653 6.3485
Er Hg
6 8
Direct
0.6250 0.7500 0.8750 Er
0.1250 0.3750 0.2500 Er
0.8750 0.2500 0.6250 Er
0.7500 0.6250 0.3750 Er
0.3750 0.1250 0.7500 Er
0.2500 0.8750 0.1250 Er
0.0000 0.0000 0.8338 Hg
0.6662 0.1662 0.1662 Hg
0.3338 0.5000 0.0000 Hg
0.1662 0.6662 0.6662 Hg
0.5000 0.3338 0.5000 Hg
0.5000 0.8338 0.5000 Hg
0.8338 0.5000 0.0000 Hg
0.0000 0.0000 0.3338 Hg
```